# 1
# CaBiS2

CaBiS2 after structural relaxation (GGA-PBE, the Alexandria database).

Calculated values
formation energy (no corrections): -863 meV per atom
space group: R3m

Cell and atoms, written as POSCAR:
```
CaBiS2
1.0
4.264 0.000 0.000
2.132 3.693 0.000
2.132 1.231 6.589
Ca S Bi
1 2 1
Direct
0.499 0.499 0.503 Ca
0.252 0.252 0.243 S
0.078 0.078 0.765 S
0.670 0.670 0.989 Bi
```

# 2
# CaBiS2

CaBiS2 after structural relaxation (GGA-PBE, the Alexandria database).

Calculated values
formation energy (no corrections): -835 meV per atom
space group: I-42d

Cell and atoms, written as POSCAR:
```
CaBiS2
1.0
-1.132 4.563 3.555
-2.623 -3.634 3.829
4.596 -0.599 7.117
Bi Ca S
2 2 4
Direct
0.000 0.000 0.000 Bi
0.750 0.250 0.500 Bi
0.500 0.500 0.000 Ca
0.250 0.750 0.500 Ca
0.875 0.870 0.750 S
0.375 0.380 0.750 S
0.620 0.125 0.250 S
0.130 0.625 0.250 S
```

# 3
# CaBi2S4

CaBi2S4 after structural relaxation (GGA-PBE, the Alexandria database).

Calculated values
formation energy (no corrections): -453 meV per atom
space group: I4/mmm
polymorph energy (0 for the lowest one): 0.403 eV per atom

Cell and atoms, written as POSCAR:
```
CaBi2S4
1.0
5.443 0.000 0.000
0.000 5.443 0.000
2.721 2.721 6.836
S Bi Ca
4 2 1
Direct
0.205 0.205 0.591 S
0.000 0.500 0.000 S
0.500 0.000 0.000 S
0.795 0.795 0.409 S
0.621 0.621 0.758 Bi
0.379 0.379 0.242 Bi
0.000 0.000 0.000 Ca
```